Compound: RbHg12
Source: the Alexandria database
Functional: PBE
Structure: relaxed

```
data_RbHg12
_space_group_name_H-M_alt 'P m -3 m'
_space_group_IT_number 221
_space_group_name_Hall '-P 4 2 3'
_cell_length_a 8.568
_cell_length_b 8.568
_cell_length_c 8.568
_cell_angle_alpha 90.00
_cell_angle_beta 90.00
_cell_angle_gamma 90.00
loop_
_atom_site_label
_atom_site_fract_x
_atom_site_fract_y
_atom_site_fract_z
Rb1 0.000 0.000 0.000
Hg1 0.000 0.250 0.500
```

Properties
- Raw total energy: -0.309 eV/atom
- Energy above the lowest structure with this stoichiometry: 0.249 eV/f.u.
- Size of the total moment: 0.00 μB per atom
- ΔH_f (0 K): 4.2 kJ/mol of atoms

=====

Compound: MgBrO2
Source: the Alexandria database
Functional: PBE
Structure: relaxed

```
data_MgBrO2
_space_group_name_H-M_alt 'C m c m'
_space_group_IT_number 63
_space_group_name_Hall '-C 2c 2'
_cell_length_a 4.517
_cell_length_b 15.370
_cell_length_c 3.915
_cell_angle_alpha 90.00
_cell_angle_beta 90.00
_cell_angle_gamma 90.00
loop_
_atom_site_label
_atom_site_fract_x
_atom_site_fract_y
_atom_site_fract_z
Mg1 0.000 0.073 0.250
Br1 0.000 0.323 0.250
O1 0.000 0.061 0.750
O2 0.000 0.210 0.250
```

Properties
- Energy relative to the elements, uncorrected: -0.7680 eV per atom
- Raw total energy: -4.064 eV/atom
- Energy above the lowest structure with this stoichiometry: 1.783 eV/f.u.
- Size of the total moment: 0.00 μB per atom

=====

Compound: AgO2F2
Source: the Alexandria database
Functional: PBE
Structure: relaxed

```
data_AgO2F2
_space_group_name_H-M_alt 'P 4/m m m'
_space_group_IT_number 123
_space_group_name_Hall '-P 4 2'
_cell_length_a 4.362
_cell_length_b 4.362
_cell_length_c 3.152
_cell_angle_alpha 90.00
_cell_angle_beta 90.00
_cell_angle_gamma 90.00
loop_
_atom_site_label
_atom_site_fract_x
_atom_site_fract_y
_atom_site_fract_z
Ag1 0.000 0.000 0.000
O1 0.500 0.500 0.000
O2 0.500 0.500 0.500
F1 0.000 0.500 0.500
```

Properties
- Energy relative to the elements, uncorrected: 0.3102 eV per atom
- Raw total energy: -2.992 eV/atom
- Energy above the lowest structure with this stoichiometry: 4.723 eV/f.u.
- Size of the total moment: 0.03 μB per atom

=====

Compound: Rb2Np3CuS8
Source: the Alexandria database
Functional: PBE
Structure: relaxed

```
data_Rb2Np3CuS8
_space_group_name_H-M_alt 'R 3 m'
_space_group_IT_number 160
_space_group_name_Hall 'R 3 -2"'
_cell_length_a 7.9304
_cell_length_b 7.9304
_cell_length_c 24.4004
_cell_angle_alpha 90.00
_cell_angle_beta 90.00
_cell_angle_gamma 120.00
loop_
_atom_site_label
_atom_site_fract_x
_atom_site_fract_y
_atom_site_fract_z
Rb1 0.0000 0.0000 0.0000
Rb2 0.0000 0.0000 0.3607
Np1 0.1674 0.3347 0.8348
Cu1 0.0000 0.0000 0.5536
S1 0.0000 0.0000 0.2271
S2 0.0000 0.0000 0.7782
S3 0.9997 0.4999 0.2265
S4 0.0330 0.5165 0.7757
```

Properties
- Energy relative to the elements, uncorrected: -1.1379 eV per atom
- Raw total energy: -6.700 eV/atom
- Size of the total moment: 0.57 μB per atom

=====

Compound: Ag4As3
Source: the Alexandria database
Functional: PBE
Structure: relaxed

```
data_Ag4As3
_space_group_name_H-M_alt 'I 4/m m m'
_space_group_IT_number 139
_space_group_name_Hall '-I 4 2'
_cell_length_a 3.638
_cell_length_b 3.638
_cell_length_c 20.150
_cell_angle_alpha 90.00
_cell_angle_beta 90.00
_cell_angle_gamma 90.00
loop_
_atom_site_label
_atom_site_fract_x
_atom_site_fract_y
_atom_site_fract_z
Ag1 0.000 0.000 0.072
Ag2 0.000 0.000 0.360
As1 0.000 0.000 0.222
As2 0.000 0.000 0.500
```

Properties
- Raw total energy: -3.428 eV/atom
- Size of the total moment: 0.00 μB per atom
- ΔH_f (0 K): 18.7 kJ/mol of atoms

=====

Compound: KPtSe2
Source: the Alexandria database
Functional: PBE
Structure: relaxed

```
data_KPtSe2
_space_group_name_H-M_alt 'F -4 3 m'
_space_group_IT_number 216
_space_group_name_Hall 'F -4 2 3'
_cell_length_a 7.065
_cell_length_b 7.065
_cell_length_c 7.065
_cell_angle_alpha 90.00
_cell_angle_beta 90.00
_cell_angle_gamma 90.00
loop_
_atom_site_label
_atom_site_fract_x
_atom_site_fract_y
_atom_site_fract_z
K1 0.000 0.000 0.000
Pt1 0.250 0.250 0.250
Se1 0.000 0.000 0.500
Se2 0.250 0.250 0.750
```

Properties
- Energy relative to the elements, uncorrected: 0.3960 eV per atom
- Raw total energy: -3.131 eV/atom
- Size of the total moment: 0.00 μB per atom